(1)
Density functional theory data (PBE-GGA) for AlIn2CuBr6 after structural relaxation.

Summary:
- Final energy: -2.96 eV/atom
- Symmetry: Fm-3m, No. 225
- Theoretical density: 4.781 g/cm³

```
AlIn2CuBr6
1.0
0.000 5.178 5.178
5.178 0.000 5.178
5.178 5.178 0.000
Br In Al Cu
6 2 1 1
Direct
0.245 0.245 0.755
0.755 0.245 0.245
0.245 0.755 0.245
0.245 0.755 0.755
0.755 0.245 0.755
0.755 0.755 0.245
0.250 0.250 0.250
0.750 0.750 0.750
0.000 0.000 0.000
0.500 0.500 0.500
```

(2)
Density functional theory data (PBE-GGA) for Rb2AlCuBr6 after structural relaxation.

Summary:
- Final energy: -3.07 eV/atom
- Symmetry: Fm-3m, No. 225
- Theoretical density: 4.254 g/cm³

```
Rb2AlCuBr6
1.0
7.220 -1.157 1.274
4.192 5.444 2.809
2.510 -0.469 6.970
Rb Cu Br Al
2 1 6 1
Direct
0.750 0.750 0.750
0.250 0.250 0.250
0.500 0.500 0.500
0.756 0.756 0.244
0.244 0.244 0.756
0.756 0.244 0.244
0.244 0.756 0.244
0.756 0.244 0.756
0.244 0.756 0.756
0.000 0.000 0.000
```

(3)
Density functional theory data (PBE-GGA) for AlTl2CuBr6 after structural relaxation.

Summary:
- Final energy: -2.97 eV/atom
- Symmetry: Fm-3m, No. 225
- Theoretical density: 5.763 g/cm³

```
AlTl2CuBr6
1.0
6.370 -3.478 1.231
3.654 1.127 6.290
0.361 -5.339 5.054
Tl Cu Br Al
2 1 6 1
Direct
0.750 0.750 0.750
0.250 0.250 0.250
0.500 0.500 0.500
0.244 0.756 0.244
0.756 0.756 0.244
0.244 0.244 0.756
0.756 0.244 0.244
0.244 0.756 0.756
0.756 0.244 0.756
0.000 0.000 0.000
```

(4)
Density functional theory data (PBE-GGA) for DyAlBr after structural relaxation.

Summary:
- Final energy: -3.38 eV/atom
- Symmetry: P4/mmm, No. 123
- Theoretical density: 4.585 g/cm³

```
DyAlBr
1.0
-2.274 -2.547 2.430
3.444 -1.012 2.162
-0.964 4.202 3.503
Br Al Dy
1 1 1
Direct
0.500 0.500 0.500
0.500 0.500 0.000
0.000 0.000 0.000
```

(5)
Density functional theory data (PBE-GGA) for DyErAl2Br2 after structural relaxation.

Summary:
- Final energy: -4.37 eV/atom
- Symmetry: P3m1, No. 156
- Theoretical density: 5.307 g/cm³

```
DyErAl2Br2
1.0
-3.016 1.538 -2.476
-0.618 -3.594 2.073
-4.185 5.701 8.637
Br Al Dy Er
2 2 1 1
Direct
0.667 0.333 0.837
0.333 0.667 0.161
0.667 0.333 0.480
0.333 0.667 0.522
0.000 0.000 0.316
0.000 0.000 0.684
```

(6)
Density functional theory data (PBE-GGA) for DyHoAl2Br2 after structural relaxation.

Summary:
- Final energy: -4.38 eV/atom
- Symmetry: P3m1, No. 156
- Theoretical density: 5.255 g/cm³

```
DyHoAl2Br2
1.0
4.200 0.000 0.000
-2.100 3.638 0.000
0.000 0.000 11.194
Dy Ho Br Al
1 1 2 2
Direct
0.000 0.000 0.684
0.000 0.000 0.316
0.333 0.667 0.163
0.667 0.333 0.838
0.333 0.667 0.520
0.667 0.333 0.479
```

(7)
Density functional theory data (PBE-GGA) for NdDyAl2Br2 after structural relaxation.

Summary:
- Final energy: -4.45 eV/atom
- Symmetry: P3m1, No. 156
- Theoretical density: 4.841 g/cm³

```
NdDyAl2Br2
1.0
4.257 0.000 0.000
-2.129 3.687 0.000
0.000 0.000 11.373
Al Dy Br Nd
2 1 2 1
Direct
0.667 0.333 0.477
0.333 0.667 0.514
0.000 0.000 0.314
0.667 0.333 0.845
0.333 0.667 0.165
0.000 0.000 0.686
```

(8)
Density functional theory data (PBE-GGA) for SmDyAl2Br2 after structural relaxation.

Summary:
- Final energy: -4.43 eV/atom
- Symmetry: P3m1, No. 156
- Theoretical density: 4.968 g/cm³

```
SmDyAl2Br2
1.0
-0.490 -3.594 2.192
3.761 1.953 -0.055
-2.971 5.979 9.139
Br Al Sm Dy
2 2 1 1
Direct
0.333 0.667 0.158
0.667 0.333 0.836
0.333 0.667 0.522
0.667 0.333 0.484
0.000 0.000 0.315
0.000 0.000 0.685
```